Material: Ca2ZrTa
Method: DFT, PBE-GGA
State: optimized geometry

```
Ca2ZrTa
1.0
-4.923 1.260 2.184
-3.474 -0.750 -4.239
3.772 -3.541 1.959
Ca Zr Ta
2 1 1
Direct
0.000 0.000 0.000 Ca
0.250 0.750 0.500 Ca
0.750 0.250 0.500 Zr
0.500 0.500 0.000 Ta
```

## Properties
total DFT energy (no corrections): -21.68 eV/cell
density of states at the Fermi level: 6.3 states/eV per cell
energy of formation: 0.681 eV/atom